1.
Dy2MgAg3: relaxed, PBE.

a = 5.029 Å, b = 5.029 Å, c = 12.243 Å
α = 90.00°, β = 90.00°, γ = 120.00°
Sites, in units of the cell vectors:
Dy 0.000 0.000 0.000
Dy 0.000 0.000 0.500
Dy 0.333 0.667 0.177
Dy 0.667 0.333 0.823
Mg 0.333 0.667 0.665
Mg 0.667 0.333 0.335
Ag 0.000 0.000 0.254
Ag 0.000 0.000 0.746
Ag 0.333 0.667 0.423
Ag 0.333 0.667 0.916
Ag 0.667 0.333 0.084
Ag 0.667 0.333 0.577

Results
Polymorph energy (0 for the lowest one) ... 0.0 meV per atom



2.
Dy5MgAg3: relaxed, PBE.

a = 9.023 Å, b = 9.023 Å, c = 6.585 Å
α = 90.00°, β = 90.00°, γ = 120.00°
Sites, in units of the cell vectors:
Dy 0.000 0.318 0.250
Dy 0.000 0.682 0.750
Dy 0.318 0.000 0.250
Dy 0.318 0.318 0.750
Dy 0.333 0.667 0.000
Dy 0.333 0.667 0.500
Dy 0.667 0.333 0.000
Dy 0.667 0.333 0.500
Dy 0.682 0.000 0.750
Dy 0.682 0.682 0.250
Mg 0.000 0.000 0.000
Mg 0.000 0.000 0.500
Ag 0.000 0.350 0.750
Ag 0.000 0.650 0.250
Ag 0.350 0.000 0.750
Ag 0.350 0.350 0.250
Ag 0.650 0.000 0.250
Ag 0.650 0.650 0.750



| no. | ΔE_f (eV/f.u.) | final energy (eV for the cell shown) | total moment (μB/atom) |
| --- | --- | --- | --- |
| 1 | -1.8 | -42.26 | 0.000 |
| 2 | -1.1 | -68.56 | 0.000 |